BaNb2Fe2O9 | GGA+U | optimized geometry

Values from the calculation:
The electronic total energy is -108.96 eV/f.u. The space group is No. 42.

Unit cell a=13.518 b=13.518 c=3.977 alpha=81.54 beta=81.53 gamma=16.92
Last column: magnetic moment on the atom in μB.
Element x y z (fractional)
1 Fe 0.008 0.542 0.458  4.31
2 Fe 0.458 0.992 0.007  4.31
3 O 0.229 0.771 0.229  0.02
4 O 0.160 0.687 0.808  0.01
5 O 0.808 0.344 0.160  0.01
6 O 0.387 0.926 0.074  0.19
7 O 0.483 0.017 0.483  0.29
8 O 0.313 0.840 0.655  0.01
9 O 0.074 0.613 0.387  0.19
10 O 0.983 0.517 0.983  0.29
11 O 0.655 0.192 0.313  0.01
12 Nb 0.131 0.701 0.299  0.04
13 Nb 0.299 0.869 0.131  0.04
14 Ba 0.724 0.276 0.724  0.00

=====

Ba3NbFe2O8 | GGA+U | optimized geometry

Values from the calculation:
The electronic total energy is -98.40 eV/f.u. The space group is No. 164.

Unit cell a=5.876 b=5.876 c=7.574 alpha=90.00 beta=90.00 gamma=120.00
Last column: magnetic moment on the atom in μB.
Element x y z (fractional)
1 O 0.324 0.162 0.662  0.10
2 O 0.838 0.676 0.662  0.10
3 O 0.667 0.333 0.017  0.19
4 O 0.676 0.838 0.338  0.10
5 O 0.838 0.162 0.662  0.10
6 O 0.162 0.324 0.338  0.10
7 O 0.333 0.667 0.983  0.19
8 O 0.162 0.838 0.338  0.10
9 Nb 0.000 0.000 0.500  -0.32
10 Fe 0.333 0.667 0.222  4.09
11 Fe 0.667 0.333 0.778  4.09
12 Ba 0.667 0.333 0.342  0.00
13 Ba 0.333 0.667 0.658  0.00
14 Ba 0.000 0.000 0.000  -0.01

=====

Ba3NbFe2O9 | GGA+U | optimized geometry

Values from the calculation:
The electronic total energy is -106.17 eV/f.u. The space group is No. 164.

Unit cell a=5.762 b=5.762 c=7.095 alpha=90.00 beta=90.00 gamma=120.00
Last column: magnetic moment on the atom in μB.
Element x y z (fractional)
1 Fe 0.333 0.667 0.162  4.20
2 Fe 0.667 0.333 0.838  4.20
3 O 0.332 0.166 0.665  0.06
4 O 0.834 0.166 0.665  0.06
5 O 0.166 0.332 0.335  0.06
6 O 0.166 0.834 0.335  0.06
7 O 0.500 0.500 0.000  0.03
8 O 0.500 0.000 0.000  0.03
9 O 0.834 0.668 0.665  0.06
10 O 0.000 0.500 0.000  0.03
11 O 0.668 0.834 0.335  0.06
12 Ba 0.000 0.000 0.000  0.00
13 Ba 0.333 0.667 0.673  0.00
14 Ba 0.667 0.333 0.327  0.00
15 Nb 0.000 0.000 0.500  0.07

=====

BaNb2FeO | GGA+U | optimized geometry

Values from the calculation:
The electronic total energy is -17.79 eV/f.u. The space group is No. 123.

Unit cell a=5.130 b=5.130 c=5.519 alpha=90.00 beta=90.00 gamma=90.00
Last column: magnetic moment on the atom in μB.
Element x y z (fractional)
1 Ba 0.000 0.000 0.000  0.01
2 Nb 0.000 0.500 0.000  -0.47
3 Nb 0.500 0.000 0.000  -0.47
4 O 0.500 0.500 0.500  0.78
5 Fe 0.000 0.000 0.500  3.75

=====

BaNb4Fe2O14 | GGA+U | optimized geometry

Values from the calculation:
The electronic total energy is -171.34 eV/f.u. The space group is No. 2.

Unit cell a=6.574 b=6.828 c=9.108 alpha=109.16 beta=99.42 gamma=98.15
Last column: magnetic moment on the atom in μB.
Element x y z (fractional)
1 O 0.630 0.714 0.807  0.06
2 O 0.330 0.472 0.560  0.06
3 O 0.280 0.911 0.749  0.06
4 O 0.325 0.793 0.018  0.06
5 O 0.370 0.286 0.193  0.06
6 O 0.310 0.372 0.841  0.06
7 O 0.690 0.628 0.159  0.06
8 O 0.675 0.207 0.982  0.06
9 O 0.620 0.217 0.646  0.01
10 O 0.011 0.424 0.268  0.06
11 O 0.989 0.576 0.732  0.06
12 O 0.670 0.528 0.440  0.06
13 O 0.720 0.089 0.251  0.06
14 O 0.380 0.783 0.354  0.01
15 Nb 0.704 0.502 0.643  0.06
16 Nb 0.532 0.832 0.199  0.07
17 Nb 0.468 0.168 0.801  0.07
18 Nb 0.296 0.498 0.357  0.06
19 Ba 0.000 0.000 0.000  0.00
20 Fe 0.303 0.636 0.784  4.36
21 Fe 0.697 0.364 0.216  4.36

=====

Ba3Nb2FeO9 | GGA+U | optimized geometry

Values from the calculation:
The electronic total energy is -116.27 eV/f.u. The space group is No. 164.

Unit cell a=5.897 b=5.897 c=7.185 alpha=90.00 beta=90.00 gamma=120.00
Last column: magnetic moment on the atom in μB.
Element x y z (fractional)
1 O 0.173 0.346 0.326  0.02
2 O 0.173 0.827 0.326  0.02
3 O 0.000 0.500 0.000  0.00
4 O 0.654 0.827 0.326  0.02
5 O 0.346 0.173 0.674  0.02
6 O 0.500 0.500 0.000  0.00
7 O 0.500 0.000 0.000  0.00
8 O 0.827 0.654 0.674  0.02
9 O 0.827 0.173 0.674  0.02
10 Ba 0.000 0.000 0.000  0.00
11 Ba 0.667 0.333 0.333  0.00
12 Ba 0.333 0.667 0.667  0.00
13 Fe 0.000 0.000 0.500  3.77
14 Nb 0.667 0.333 0.822  0.02
15 Nb 0.333 0.667 0.178  0.02